(1)
Entry from Alexandria via LeMat-Bulk: a relaxed MnMoIr2 crystal (GGA-PBE).

Unit cell a=2.715 b=2.715 c=7.648 alpha=90.00 beta=90.00 gamma=90.00
Fractional positions:
Mn 0.000 0.000 0.000
Mo 0.500 0.500 0.258
Ir 0.000 0.000 0.510
Ir 0.500 0.500 0.782

Values from the calculation:
- DOS(E_F) (states/eV per atom) = 1.074
- calculated formation energy (eV/atom) = -0.053
- V (Å³/f.u.) = 56.4

=====

(2)
Entry from Alexandria via LeMat-Bulk: a relaxed MgTlPb2 crystal (GGA-PBE).

Unit cell a=6.480 b=6.480 c=6.480 alpha=147.21 beta=128.28 gamma=62.61
Fractional positions:
Mg 0.000 0.000 0.000
Tl 0.770 0.270 0.500
Pb 0.236 0.736 0.500
Pb 0.505 0.505 0.000

Values from the calculation:
- DOS(E_F) (states/eV per atom) = 0.398
- calculated formation energy (eV/atom) = 0.009
- V (Å³/f.u.) = 114.5

=====

(3)
Entry from Alexandria via LeMat-Bulk: a relaxed SrCu2P crystal (GGA-PBE).

Unit cell a=3.325 b=3.325 c=6.728 alpha=90.00 beta=90.00 gamma=90.00
Fractional positions:
Sr 0.000 0.000 0.000
Cu 0.000 0.000 0.526
Cu 0.500 0.500 0.334
P 0.500 0.500 0.675

Values from the calculation:
- DOS(E_F) (states/eV per atom) = 0.444
- calculated formation energy (eV/atom) = -0.015
- V (Å³/f.u.) = 74.4

=====

(4)
Entry from Alexandria via LeMat-Bulk: a relaxed Na3FeB crystal (GGA-PBE).

Unit cell a=5.055 b=5.055 c=5.055 alpha=90.00 beta=90.00 gamma=90.00
Fractional positions:
Na 0.000 0.000 0.500
Na 0.000 0.500 0.000
Na 0.500 0.000 0.000
Fe 0.500 0.500 0.500
B 0.000 0.000 0.000

Values from the calculation:
- DOS(E_F) (states/eV per atom) = 2.150
- calculated formation energy (eV/atom) = 1.342
- V (Å³/f.u.) = 129.1

=====

(5)
Entry from Alexandria via LeMat-Bulk: a relaxed Pm4ErPu3Se8 crystal (GGA-PBE).

Unit cell a=8.336 b=8.336 c=8.336 alpha=59.59 beta=59.59 gamma=59.59
Fractional positions:
Pm 0.000 0.000 0.000
Pm 0.000 0.500 0.500
Pm 0.500 0.000 0.500
Pm 0.500 0.500 0.000
Er 0.500 0.500 0.500
Pu 0.000 0.000 0.500
Pu 0.000 0.500 0.000
Pu 0.500 0.000 0.000
Se 0.248 0.248 0.248
Se 0.251 0.745 0.745
Se 0.255 0.255 0.749
Se 0.255 0.749 0.255
Se 0.745 0.251 0.745
Se 0.745 0.745 0.251
Se 0.749 0.255 0.255
Se 0.752 0.752 0.752

Values from the calculation:
- DOS(E_F) (states/eV per atom) = 1.752
- E_form (uncorrected) (eV/f.u.) = -27.58
- V (Å³/f.u.) = 405.8

=====

(6)
Entry from Alexandria via LeMat-Bulk: a relaxed Tm2HgAu crystal (GGA-PBE).

Unit cell a=3.931 b=3.931 c=8.238 alpha=103.93 beta=103.93 gamma=59.67
Fractional positions:
Tm 0.000 0.000 0.000
Tm 0.181 0.181 0.541
Hg 0.758 0.758 0.271
Au 0.592 0.592 0.773

Values from the calculation:
- DOS(E_F) (states/eV per atom) = 0.554
- calculated formation energy (eV/atom) = -0.535
- V (Å³/f.u.) = 105.6

=====

(7)
Entry from Alexandria via LeMat-Bulk: a relaxed MgNiSn3 crystal (GGA-PBE).

Unit cell a=3.419 b=6.552 c=10.660 alpha=105.73 beta=91.11 gamma=103.14
Fractional positions:
Mg 0.021 0.038 0.178
Mg 0.979 0.962 0.822
Ni 0.313 0.612 0.703
Ni 0.687 0.388 0.297
Sn 0.145 0.272 0.462
Sn 0.319 0.688 0.272
Sn 0.368 0.694 0.961
Sn 0.632 0.306 0.039
Sn 0.681 0.312 0.728
Sn 0.855 0.728 0.538

Values from the calculation:
- DOS(E_F) (states/eV per atom) = 0.382
- calculated formation energy (eV/atom) = -0.096
- V (Å³/f.u.) = 111.5

=====

(8)
Entry from Alexandria via LeMat-Bulk: a relaxed NpBe2Ag2O6 crystal (GGA-PBE).

Unit cell a=5.417 b=5.417 c=5.775 alpha=90.00 beta=90.00 gamma=120.00
Fractional positions:
Np 0.000 0.000 0.000
Be 0.333 0.667 0.801
Be 0.667 0.333 0.199
Ag 0.333 0.667 0.321
Ag 0.667 0.333 0.679
O 0.087 0.735 0.793
O 0.265 0.352 0.793
O 0.352 0.087 0.207
O 0.648 0.913 0.793
O 0.735 0.648 0.207
O 0.913 0.265 0.207

Values from the calculation:
- E_form (uncorrected) (eV/f.u.) = -20.45
- V (Å³/f.u.) = 146.8

=====

(9)
Entry from Alexandria via LeMat-Bulk: a relaxed Rb2SeI6Br crystal (GGA-PBE).

Unit cell a=8.707 b=8.707 c=8.707 alpha=122.37 beta=122.37 gamma=85.93
Fractional positions:
Rb 0.250 0.750 0.500
Rb 0.750 0.250 0.500
Se 0.000 0.000 0.000
I 0.223 0.223 0.000
I 0.242 0.242 0.485
I 0.242 0.758 0.000
I 0.758 0.242 0.000
I 0.758 0.758 0.515
I 0.777 0.777 0.000
Br 0.500 0.500 0.000

Values from the calculation:
- DOS(E_F) (states/eV per atom) = 0.329
- E_form (uncorrected) (eV/f.u.) = -5.66
- V (Å³/f.u.) = 448.8

=====

(10)
Entry from Alexandria via LeMat-Bulk: a relaxed TlFeBr4 crystal (GGA-PBE).

Unit cell a=7.800 b=10.663 c=10.544 alpha=90.00 beta=90.00 gamma=90.00
Fractional positions:
Tl 0.159 0.250 0.250
Tl 0.341 0.750 0.250
Tl 0.659 0.250 0.750
Tl 0.841 0.750 0.750
Fe 0.250 0.000 0.679
Fe 0.250 0.500 0.821
Fe 0.750 0.000 0.321
Fe 0.750 0.500 0.179
Br 0.008 0.038 0.809
Br 0.008 0.462 0.691
Br 0.180 0.677 0.945
Br 0.180 0.823 0.555
Br 0.320 0.177 0.555
Br 0.320 0.323 0.945
Br 0.492 0.538 0.691
Br 0.492 0.962 0.809
Br 0.508 0.038 0.191
Br 0.508 0.462 0.309
Br 0.680 0.677 0.055
Br 0.680 0.823 0.445
Br 0.820 0.177 0.445
Br 0.820 0.323 0.055
Br 0.992 0.538 0.309
Br 0.992 0.962 0.191

Values from the calculation:
- E_form (uncorrected) (eV/f.u.) = -3.88
- V (Å³/f.u.) = 219.2

=====

(11)
Entry from Alexandria via LeMat-Bulk: a relaxed Tm3Tl4SbS8 crystal (GGA-PBE).

Unit cell a=8.804 b=8.804 c=8.804 alpha=54.04 beta=54.04 gamma=54.04
Fractional positions:
Tm 0.000 0.500 0.500
Tm 0.500 0.000 0.500
Tm 0.500 0.500 0.000
Tl 0.000 0.000 0.500
Tl 0.000 0.500 0.000
Tl 0.500 0.000 0.000
Tl 0.500 0.500 0.500
Sb 0.000 0.000 0.000
S 0.234 0.234 0.728
S 0.234 0.728 0.234
S 0.268 0.268 0.268
S 0.272 0.766 0.766
S 0.728 0.234 0.234
S 0.732 0.732 0.732
S 0.766 0.272 0.766
S 0.766 0.766 0.272

Values from the calculation:
- E_form (uncorrected) (eV/f.u.) = -19.17
- V (Å³/f.u.) = 415.3

=====

(12)
Entry from Alexandria via LeMat-Bulk: a relaxed SmTmSnPb crystal (GGA-PBE).

Unit cell a=5.424 b=5.424 c=5.424 alpha=60.00 beta=60.00 gamma=60.00
Fractional positions:
Sm 0.000 0.000 0.000
Tm 0.500 0.500 0.500
Sn 0.750 0.750 0.750
Pb 0.250 0.250 0.250

Values from the calculation:
- DOS(E_F) (states/eV per atom) = 0.868
- calculated formation energy (eV/atom) = -0.453
- V (Å³/f.u.) = 112.8

=====

Record order is preserved below.
E_tot: -9.483 -2.835 -3.836 -2.477 -7.626 -3.666 -3.973 -6.936 -2.205 -3.566 -4.949 -4.678 eV per atom